# 1
A relaxed GdTl2Ga crystal. Source: Alexandria via LeMat-Bulk, functional PBE-GGA.

Summary:
D(E_F)	1.8	states/eV per cell
formation enthalpy at 0 K	-0.302	eV per atom

a b c (Å): 4.608 4.608 4.715
angles (deg): 90.00 90.00 90.00
Space group P4/mmm (No. 123)
One atom of each set of equivalent atoms:
Gd (0.000, 0.000, 0.000) x1
Tl (0.000, 0.500, 0.500) x2
Ga (0.500, 0.500, 0.000) x1

=====

# 2
A relaxed LiPrGdHg crystal. Source: Alexandria via LeMat-Bulk, functional PBE-GGA.

Summary:
D(E_F)	19.3	states/eV per cell
formation enthalpy at 0 K	-0.224	eV per atom

a b c (Å): 7.564 7.564 7.564
angles (deg): 90.00 90.00 90.00
Space group F-43m (No. 216)
One atom of each set of equivalent atoms:
Li (0.000, 0.000, 0.000) x4
Pr (0.250, 0.250, 0.750) x4
Gd (0.250, 0.250, 0.250) x4
Hg (0.000, 0.000, 0.500) x4

=====

# 3
A relaxed RbLiYSe2 crystal. Source: Alexandria via LeMat-Bulk, functional PBE-GGA.

Summary:
D(E_F)	11.4	states/eV per cell
formation energy from raw total energies	-5.87	eV/f.u.

a b c (Å): 7.249 15.001 6.301
angles (deg): 90.00 90.00 90.00
Space group Cmme (No. 67)
One atom of each set of equivalent atoms:
Rb (0.000, 0.250, 0.229) x4
Li (0.000, 0.000, 0.000) x4
Y (0.250, 0.000, 0.500) x4
Se (0.000, 0.110, 0.714) x8

=====

# 4
A relaxed Sc3HgO crystal. Source: Alexandria via LeMat-Bulk, functional PBE-GGA.

Summary:
D(E_F)	22.5	states/eV per cell
formation energy from raw total energies	-5.84	eV/f.u.

a b c (Å): 14.443 3.518 9.416
angles (deg): 90.00 113.88 90.00
Space group C2/m (No. 12)
One atom of each set of equivalent atoms:
Sc (0.111, 0.000, 0.164) x4
Sc (0.149, 0.500, 0.904) x4
Sc (0.192, 0.000, 0.581) x4
Hg (0.019, 0.000, 0.664) x4
O (0.230, 0.000, 0.379) x4